No. 1
Ac2Cu6NiPd: relaxed, PBE.

abc: 6.455 6.428 6.451
angles: 60.05 59.98 89.70
Fractional coordinates of all 10 atoms:
Ac: 0.911 0.304 0.392
Ac: 0.089 0.696 0.608
Cu: 0.384 0.259 0.482
Cu: 0.615 0.739 0.129
Cu: 0.388 0.870 0.871
Cu: 0.612 0.130 0.129
Cu: 0.385 0.261 0.871
Cu: 0.616 0.741 0.518
Ni: 0.500 0.500 0.000
Pd: 0.000 0.000 0.000

Calculated values
Its symmetry is P-1. The formation energy is -117 meV/atom. For the density of states at the Fermi level, the calculation gives 5.34 states/eV per cell.

***

No. 2
AcPrCuNi: relaxed, PBE.

abc: 5.173 5.173 5.173
angles: 60.00 60.00 60.00
Fractional coordinates of all 4 atoms:
Pr: 0.500 0.500 0.500
Ni: 0.750 0.750 0.750
Ac: 0.000 0.000 0.000
Cu: 0.250 0.250 0.250

Calculated values
For the offset from the most stable computed form, the calculation gives 84 meV/atom. Its symmetry is F-43m. The formation energy is -107 meV/atom. For the density of states at the Fermi level, the calculation gives 4.39 states/eV per cell.

***

No. 3
AcPrCuNi: relaxed, PBE.

abc: 4.014 4.551 5.868
angles: 90.00 110.00 90.00
Fractional coordinates of all 4 atoms:
Ac: 0.140 0.000 0.280
Pr: 0.864 0.500 0.728
Cu: 0.563 0.500 0.125
Ni: 0.433 0.000 0.866

Calculated values
For the offset from the most stable computed form, the calculation gives 0 meV/atom. Its symmetry is Amm2. The formation energy is -191 meV/atom. For the density of states at the Fermi level, the calculation gives 4.13 states/eV per cell.

***

No. 4
Ac2CuNiPt6: relaxed, PBE.

abc: 5.428 8.611 6.757
angles: 50.58 66.33 90.02
Fractional coordinates of all 10 atoms:
Ac: 0.750 0.291 0.499
Ac: 0.250 0.709 0.501
Cu: 0.500 0.500 0.000
Ni: 0.000 0.000 0.000
Pt: 0.250 0.102 0.500
Pt: 0.754 0.758 0.992
Pt: 0.255 0.758 0.991
Pt: 0.745 0.242 0.009
Pt: 0.246 0.242 0.008
Pt: 0.750 0.898 0.500

Calculated values
Its symmetry is C2/m. The formation energy is -664 meV/atom. For the density of states at the Fermi level, the calculation gives 8.53 states/eV per cell.

***

No. 5
Ac2CuNi2Pt5: relaxed, PBE.

abc: 4.032 9.522 9.522
angles: 90.00 90.00 90.00
Fractional coordinates of all 20 atoms:
Ac: 0.000 0.682 0.182
Ac: 0.000 0.318 0.818
Ac: 0.000 0.182 0.318
Ac: 0.000 0.818 0.682
Cu: 0.000 0.000 0.000
Cu: 0.000 0.500 0.500
Ni: 0.000 0.117 0.617
Ni: 0.000 0.883 0.383
Ni: 0.000 0.617 0.883
Ni: 0.000 0.383 0.117
Pt: 0.500 0.205 0.058
Pt: 0.500 0.795 0.942
Pt: 0.500 0.058 0.795
Pt: 0.500 0.705 0.442
Pt: 0.500 0.942 0.205
Pt: 0.500 0.295 0.558
Pt: 0.500 0.558 0.705
Pt: 0.500 0.442 0.295
Pt: 0.500 0.500 0.000
Pt: 0.500 0.000 0.500

Calculated values
Its symmetry is P4/mbm. The formation energy is -595 meV/atom. For the density of states at the Fermi level, the calculation gives 20.71 states/eV per cell.

***

No. 6
Ac2Cu6NiPt: relaxed, PBE.

abc: 6.585 6.758 6.588
angles: 84.19 43.30 99.35
Fractional coordinates of all 10 atoms:
Ac: 0.755 0.298 0.457
Ac: 0.245 0.702 0.543
Cu: 0.232 0.225 0.510
Cu: 0.751 0.921 0.830
Cu: 0.265 0.775 0.992
Cu: 0.735 0.225 0.008
Cu: 0.249 0.079 0.170
Cu: 0.768 0.775 0.490
Ni: 0.000 0.000 0.000
Pt: 0.500 0.500 0.000

Calculated values
Its symmetry is P-1. The formation energy is -264 meV/atom. For the density of states at the Fermi level, the calculation gives 3.56 states/eV per cell.